Sr2LaTa: relaxed, GGA-PBE.

```
data_Sr2LaTa
_chemical_formula_sum 'Sr2 La1 Ta1'
_cell_length_a 3.455
_cell_length_b 5.890
_cell_length_c 6.884
_cell_angle_alpha 90.00
_cell_angle_beta 103.32
_cell_angle_gamma 90.00
_symmetry_space_group_name_H-M 'P 1 2/m 1'
_symmetry_Int_Tables_number 10
_symmetry_space_group_name_Hall '-P 2y'
loop_
_atom_site_label
_atom_site_fract_x
_atom_site_fract_y
_atom_site_fract_z
Sr1 0.217 0.000 0.266
La1 0.500 0.500 0.000
Ta1 0.000 0.500 0.500
```

The value obtained for the formation energy is 0.854 eV/atom. The relative energy among the computed polymorphs comes out at 288 meV/atom. For the theoretical density, the calculation gives 6.030 g cm⁻³.

Sr2LaTa: relaxed, GGA-PBE.

```
data_Sr2LaTa
_chemical_formula_sum 'Sr2 La1 Ta1'
_cell_length_a 4.906
_cell_length_b 4.906
_cell_length_c 5.594
_cell_angle_alpha 90.00
_cell_angle_beta 90.00
_cell_angle_gamma 90.00
_symmetry_space_group_name_H-M 'P 4/m m m'
_symmetry_Int_Tables_number 123
_symmetry_space_group_name_Hall '-P 4 2'
loop_
_atom_site_label
_atom_site_fract_x
_atom_site_fract_y
_atom_site_fract_z
Sr1 0.000 0.500 0.000
La1 0.000 0.000 0.500
Ta1 0.500 0.500 0.500
```

The value obtained for the formation energy is 0.851 eV/atom. The relative energy among the computed polymorphs comes out at 285 meV/atom. For the theoretical density, the calculation gives 6.105 g cm⁻³.

SrLa2Ta: relaxed, GGA-PBE.

```
data_SrLa2Ta
_chemical_formula_sum 'Sr2 La4 Ta2'
_cell_length_a 7.152
_cell_length_b 11.511
_cell_length_c 3.278
_cell_angle_alpha 90.00
_cell_angle_beta 115.61
_cell_angle_gamma 90.00
_symmetry_space_group_name_H-M 'C 1 2/m 1'
_symmetry_Int_Tables_number 12
_symmetry_space_group_name_Hall '-C 2y'
loop_
_atom_site_label
_atom_site_fract_x
_atom_site_fract_y
_atom_site_fract_z
Sr1 0.000 0.000 0.000
La1 0.250 0.250 0.500
Ta1 0.000 0.500 0.000
```

The value obtained for the formation energy is 0.736 eV/atom. The relative energy among the computed polymorphs comes out at 346 meV/atom. For the theoretical density, the calculation gives 7.458 g cm⁻³.

Sr2LaTa: relaxed, GGA-PBE.

```
data_Sr2LaTa
_chemical_formula_sum 'Sr4 La2 Ta2'
_cell_length_a 6.794
_cell_length_b 11.223
_cell_length_c 3.421
_cell_angle_alpha 90.00
_cell_angle_beta 90.00
_cell_angle_gamma 90.00
_symmetry_space_group_name_H-M 'C m m m'
_symmetry_Int_Tables_number 65
_symmetry_space_group_name_Hall '-C 2 2'
loop_
_atom_site_label
_atom_site_fract_x
_atom_site_fract_y
_atom_site_fract_z
Sr1 0.250 0.250 0.000
La1 0.000 0.000 0.500
Ta1 0.000 0.500 0.500
```

The value obtained for the formation energy is 0.879 eV/atom. The relative energy among the computed polymorphs comes out at 313 meV/atom. For the theoretical density, the calculation gives 6.304 g cm⁻³.

SrLa2Ta: relaxed, GGA-PBE.

```
data_SrLa2Ta
_chemical_formula_sum 'Sr3 La6 Ta3'
_cell_length_a 3.5683
_cell_length_b 3.5683
_cell_length_c 35.7687
_cell_angle_alpha 90.00
_cell_angle_beta 90.00
_cell_angle_gamma 120.00
_symmetry_space_group_name_H-M 'R -3 m'
_symmetry_Int_Tables_number 166
_symmetry_space_group_name_Hall '-R 3 2"'
loop_
_atom_site_label
_atom_site_fract_x
_atom_site_fract_y
_atom_site_fract_z
Sr1 0.0000 0.0000 0.0000
La1 0.0000 0.0000 0.2356
Ta1 0.0000 0.0000 0.5000
```

The value obtained for the formation energy is 0.542 eV/atom. The relative energy among the computed polymorphs comes out at 152 meV/atom. For the theoretical density, the calculation gives 6.901 g cm⁻³.

SrLa2Ta: relaxed, GGA-PBE.

```
data_SrLa2Ta
_chemical_formula_sum 'Sr2 La4 Ta2'
_cell_length_a 3.563
_cell_length_b 6.318
_cell_length_c 12.075
_cell_angle_alpha 90.00
_cell_angle_beta 90.00
_cell_angle_gamma 90.00
_symmetry_space_group_name_H-M 'I m m m'
_symmetry_Int_Tables_number 71
_symmetry_space_group_name_Hall '-I 2 2'
loop_
_atom_site_label
_atom_site_fract_x
_atom_site_fract_y
_atom_site_fract_z
Sr1 0.000 0.000 0.000
La1 0.000 0.500 0.201
Ta1 0.000 0.000 0.500
```

The value obtained for the formation energy is 0.545 eV/atom. The relative energy among the computed polymorphs comes out at 155 meV/atom. For the theoretical density, the calculation gives 6.676 g cm⁻³.

SrLaTa2: relaxed, GGA-PBE.

```
data_SrLaTa2
_chemical_formula_sum 'Sr1 La1 Ta2'
_cell_length_a 3.625
_cell_length_b 3.645
_cell_length_c 9.109
_cell_angle_alpha 90.00
_cell_angle_beta 90.13
_cell_angle_gamma 90.00
_symmetry_space_group_name_H-M 'P 1 m 1'
_symmetry_Int_Tables_number 6
_symmetry_space_group_name_Hall 'P -2y'
loop_
_atom_site_label
_atom_site_fract_x
_atom_site_fract_y
_atom_site_fract_z
Sr1 0.000 0.000 0.000
La1 0.493 0.500 0.390
Ta1 0.499 0.500 0.739
Ta2 0.998 0.000 0.623
```

The value obtained for the formation energy is 0.403 eV/atom. The relative energy among the computed polymorphs comes out at 0 meV/atom. For the theoretical density, the calculation gives 8.118 g cm⁻³.

Sr2LaTa: relaxed, GGA-PBE.

```
data_Sr2LaTa
_chemical_formula_sum 'Sr8 La4 Ta4'
_cell_length_a 11.348
_cell_length_b 11.348
_cell_length_c 5.565
_cell_angle_alpha 90.00
_cell_angle_beta 90.00
_cell_angle_gamma 90.00
_symmetry_space_group_name_H-M 'I -4 2 d'
_symmetry_Int_Tables_number 122
_symmetry_space_group_name_Hall 'I -4 2bw'
loop_
_atom_site_label
_atom_site_fract_x
_atom_site_fract_y
_atom_site_fract_z
Sr1 0.124 0.250 0.125
La1 0.000 0.000 0.500
Ta1 0.000 0.000 0.000
```

The value obtained for the formation energy is 1.057 eV/atom. The relative energy among the computed polymorphs comes out at 491 meV/atom. For the theoretical density, the calculation gives 4.589 g cm⁻³.